No. 1
Material: Th2PaGe3Rh4
Method: DFT, PBE
State: relaxed

Summary:
ΔE_f = -0.86 eV per atom
Magnetic moment = 0.00 μB per atom
Uncorrected energy = -7.620 eV per atom

abc: 4.246 4.246 11.047
angles: 90.00 90.00 90.00
Positions (direct):
Rh: 0.500 0.500 0.000
Rh: 0.000 0.000 0.000
Rh: 0.500 0.000 0.650
Rh: 0.000 0.500 0.350
Th: 0.500 0.000 0.223
Th: 0.000 0.500 0.777
Ge: 0.500 0.000 0.875
Ge: 0.000 0.000 0.500
Ge: 0.000 0.500 0.125
Pa: 0.500 0.500 0.500

No. 2
Material: Pa2TiGe3Rh4
Method: DFT, PBE
State: relaxed

Summary:
ΔE_f = -0.76 eV per atom
Magnetic moment = 0.00 μB per atom
Uncorrected energy = -7.778 eV per atom

abc: 4.067 4.067 10.789
angles: 90.00 90.00 90.00
Positions (direct):
Pa: 0.500 0.000 0.242
Pa: 0.000 0.500 0.758
Rh: 0.500 0.500 0.000
Rh: 0.000 0.500 0.357
Rh: 0.000 0.000 0.000
Rh: 0.500 0.000 0.643
Ge: 0.000 0.000 0.500
Ge: 0.000 0.500 0.131
Ge: 0.500 0.000 0.869
Ti: 0.500 0.500 0.500

No. 3
Material: Pa2VGe4Rh3
Method: DFT, PBE
State: relaxed

Summary:
ΔE_f = -0.62 eV per atom
Magnetic moment = 0.26 μB per atom
Uncorrected energy = -7.482 eV per atom

abc: 4.197 4.197 10.193
angles: 90.00 90.00 90.00
Positions (direct):
Rh: 0.500 0.000 0.873
Rh: 0.000 0.500 0.127
Rh: 0.000 0.000 0.500
Pa: 0.500 0.000 0.254
Pa: 0.000 0.500 0.746
Ge: 0.000 0.500 0.364
Ge: 0.500 0.500 0.000
Ge: 0.500 0.000 0.636
Ge: 0.000 0.000 0.000
V: 0.500 0.500 0.500